# Be3CuGe

An optimized crystal structure of Be3CuGe (PBE, Alexandria via LeMat-Bulk).

Computed properties:
uncorrected energy = -16.5 eV/cell
magnetization = 0.000 μB/atom
E_form = 673.7 meV per atom
symmetry = Pm-3m

Cell: 4.0845 4.0845 4.0845 Å, 90.00 90.00 90.00°
With the nearest neighbours (Å) after each atom.
Fractional positions:
Be 0.0000 0.5000 0.0000  2 Cu 2.04
Be 0.0000 0.0000 0.5000  2 Cu 2.04
Be 0.5000 0.0000 0.0000  2 Cu 2.04
Ge 0.5000 0.5000 0.5000  12 Be 2.89
Cu 0.0000 0.0000 0.0000  6 Be 2.04